An optimized crystal structure of Na2NdBr6. Source: the Alexandria database, functional PBE-GGA.

Unit cell a=6.6322 b=6.6322 c=13.1788 alpha=116.40 beta=116.40 gamma=39.50
Closest atoms and distances in Å follow each position.
Element x y z (fractional)
Na 0.1427 0.1427 0.3402  5 Br 2.96-3.10
Na 0.8573 0.8573 0.6598  5 Br 2.96-3.10
Nd 0.5000 0.5000 0.0000  6 Br 2.87-2.96
Br 0.0974 0.0974 0.9220  2 Nd 2.96
Br 0.2988 0.2988 0.7718  1 Nd 2.87, 2 Na 2.96
Br 0.4080 0.4080 0.5385  1 Br 2.92, 3 Na 2.99-3.10
Br 0.5920 0.5920 0.4615  1 Br 2.92, 3 Na 2.99-3.10
Br 0.7012 0.7012 0.2282  1 Nd 2.87, 2 Na 2.96
Br 0.9026 0.9026 0.0780  2 Nd 2.96

Properties
space-group type	C2/m
crystal system	monoclinic
E_tot	-3.37	eV/atom